# 1
Ca2AlCu: relaxed, GGA-PBEsol.

Lattice parameters (Å, degrees): 4.349 5.849 5.849 42.79 90.00 90.00
Fractional coordinates of all 4 atoms:
Ca (0.000, 0.000, 0.000)
Ca (0.500, 0.292, 0.292)
Al (0.500, 0.590, 0.590)
Cu (0.000, 0.698, 0.698)


# 2
Zn2CoSi: relaxed, GGA-PBEsol.

formation energy (no corrections): -0.100 eV/atom

Lattice parameters (Å, degrees): 2.546 3.713 5.831 90.00 90.00 90.00
Fractional coordinates of all 4 atoms:
Zn (0.000, 0.000, 0.000)
Zn (0.500, 0.500, 0.241)
Co (0.000, 0.500, 0.611)
Si (0.500, 0.000, 0.608)


# 3
Ca2TaTe: relaxed, GGA-PBEsol.

formation energy (no corrections): -0.055 eV/atom

Lattice parameters (Å, degrees): 3.591 3.591 8.582 90.00 90.00 90.00
Fractional coordinates of all 4 atoms:
Ca (0.000, 0.000, 0.000)
Ca (0.500, 0.500, 0.363)
Ta (0.000, 0.000, 0.610)
Te (0.500, 0.500, 0.750)


# 4
Ba2MnPb: relaxed, GGA-PBEsol.

Lattice parameters (Å, degrees): 5.580 5.580 5.580 60.00 60.00 60.00
Fractional coordinates of all 4 atoms:
Ba (0.000, 0.000, 0.000)
Ba (0.250, 0.250, 0.250)
Mn (0.750, 0.750, 0.750)
Pb (0.500, 0.500, 0.500)


# 5
Cs2AgAsS4: relaxed, GGA-PBEsol.

formation energy (no corrections): -0.652 eV/atom

Lattice parameters (Å, degrees): 6.772 7.096 11.064 73.20 73.64 70.82
Fractional coordinates of all 16 atoms:
Cs (0.238, 0.264, 0.101)
Cs (0.255, 0.013, 0.687)
Cs (0.745, 0.987, 0.313)
Cs (0.762, 0.736, 0.899)
Ag (0.126, 0.587, 0.582)
Ag (0.874, 0.413, 0.418)
As (0.366, 0.637, 0.273)
As (0.634, 0.363, 0.727)
S (0.240, 0.864, 0.394)
S (0.247, 0.761, 0.097)
S (0.265, 0.360, 0.387)
S (0.282, 0.446, 0.773)
S (0.718, 0.554, 0.227)
S (0.735, 0.640, 0.613)
S (0.753, 0.239, 0.903)
S (0.760, 0.136, 0.606)


# 6
HfHRu2Br: relaxed, GGA-PBEsol.

Lattice parameters (Å, degrees): 4.751 4.751 3.230 90.00 90.00 90.00
Fractional coordinates of all 5 atoms:
Hf (0.000, 0.000, 0.000)
H (0.500, 0.500, 0.000)
Ru (0.000, 0.500, 0.500)
Ru (0.500, 0.000, 0.500)
Br (0.500, 0.500, 0.500)


# 7
Tc6BiO18: relaxed, GGA-PBEsol.

formation energy (no corrections): -1.358 eV/atom

Lattice parameters (Å, degrees): 7.127 7.127 15.932 102.88 102.88 90.05
Fractional coordinates of all 50 atoms:
Tc (0.000, 0.000, 0.000)
Tc (0.000, 0.000, 0.500)
Tc (0.000, 0.500, 0.000)
Tc (0.170, 0.668, 0.833)
Tc (0.331, 0.332, 0.168)
Tc (0.332, 0.331, 0.668)
Tc (0.332, 0.830, 0.667)
Tc (0.500, 0.000, 0.500)
Tc (0.668, 0.170, 0.333)
Tc (0.668, 0.669, 0.332)
Tc (0.669, 0.668, 0.832)
Tc (0.830, 0.332, 0.167)
Bi (0.500, 0.500, 0.000)
Bi (0.500, 0.500, 0.500)
O (0.016, 0.759, 0.034)
O (0.097, 0.353, 0.196)
O (0.108, 0.227, 0.581)
O (0.109, 0.858, 0.581)
O (0.142, 0.891, 0.919)
O (0.171, 0.508, 0.920)
O (0.199, 0.801, 0.750)
O (0.200, 0.448, 0.752)
O (0.227, 0.108, 0.081)
O (0.241, 0.984, 0.466)
O (0.251, 0.494, 0.081)
O (0.310, 0.553, 0.609)
O (0.353, 0.097, 0.696)
O (0.447, 0.690, 0.891)
O (0.448, 0.200, 0.252)
O (0.449, 0.551, 0.250)
O (0.492, 0.829, 0.580)
O (0.494, 0.251, 0.581)
O (0.506, 0.749, 0.419)
O (0.508, 0.171, 0.420)
O (0.551, 0.449, 0.750)
O (0.552, 0.800, 0.748)
O (0.553, 0.310, 0.109)
O (0.647, 0.903, 0.304)
O (0.690, 0.447, 0.391)
O (0.749, 0.506, 0.919)
O (0.759, 0.016, 0.534)
O (0.773, 0.892, 0.919)
O (0.800, 0.552, 0.248)
O (0.801, 0.199, 0.250)
O (0.829, 0.492, 0.080)
O (0.858, 0.109, 0.081)
O (0.891, 0.142, 0.419)
O (0.892, 0.773, 0.419)
O (0.903, 0.647, 0.804)
O (0.984, 0.241, 0.966)


# 8
SrMg2Ir2: relaxed, GGA-PBEsol.

Lattice parameters (Å, degrees): 6.266 6.266 6.266 139.11 139.11 59.21
Fractional coordinates of all 5 atoms:
Sr (0.000, 0.000, 0.000)
Mg (0.250, 0.750, 0.500)
Mg (0.750, 0.250, 0.500)
Ir (0.389, 0.389, 0.000)
Ir (0.611, 0.611, 0.000)


# 9
Al2RuRhF: relaxed, GGA-PBEsol.

formation energy (no corrections): 0.360 eV/atom

Lattice parameters (Å, degrees): 4.742 4.742 4.478 90.00 90.00 90.00
Fractional coordinates of all 5 atoms:
Al (0.000, 0.500, 0.000)
Al (0.500, 0.000, 0.000)
Ru (0.000, 0.000, 0.000)
Rh (0.000, 0.000, 0.500)
F (0.500, 0.500, 0.500)


# 10
Rb: relaxed, GGA-PBEsol.

distance to the lowest polymorph of the same formula: 1 meV/atom

Lattice parameters (Å, degrees): 4.782 4.782 4.782 109.41 109.41 109.41
Fractional coordinates of all 1 atoms:
Rb (0.000, 0.000, 0.000)


# 11
SrHgPb2: relaxed, GGA-PBEsol.

Lattice parameters (Å, degrees): 5.507 5.507 5.507 60.00 60.00 60.00
Fractional coordinates of all 4 atoms:
Sr (0.000, 0.000, 0.000)
Hg (0.250, 0.250, 0.250)
Pb (0.500, 0.500, 0.500)
Pb (0.750, 0.750, 0.750)


# 12
CoNi2F: relaxed, GGA-PBEsol.

formation energy (no corrections): 0.192 eV/atom

Lattice parameters (Å, degrees): 3.899 3.899 3.899 60.00 60.00 60.00
Fractional coordinates of all 4 atoms:
Co (0.000, 0.000, 0.000)
Ni (0.250, 0.250, 0.250)
Ni (0.750, 0.750, 0.750)
F (0.500, 0.500, 0.500)


# 13
KTl2Sb: relaxed, GGA-PBEsol.

formation energy (no corrections): -0.111 eV/atom

Lattice parameters (Å, degrees): 6.039 6.039 6.039 134.37 127.33 72.20
Fractional coordinates of all 4 atoms:
K (0.000, 0.000, 0.000)
Tl (0.474, 0.474, 0.000)
Tl (0.726, 0.226, 0.500)
Sb (0.260, 0.760, 0.500)


# 14
FeNi6Ru: relaxed, GGA-PBEsol.

Lattice parameters (Å, degrees): 6.104 6.104 9.968 90.00 90.00 109.51
Fractional coordinates of all 32 atoms:
Fe (0.000, 0.000, 0.248)
Fe (0.000, 0.000, 0.752)
Fe (0.251, 0.749, 0.000)
Fe (0.749, 0.251, 0.000)
Ni (0.000, 0.000, 0.000)
Ni (0.000, 0.000, 0.500)
Ni (0.122, 0.372, 0.372)
Ni (0.122, 0.372, 0.628)
Ni (0.122, 0.373, 0.123)
Ni (0.122, 0.373, 0.877)
Ni (0.249, 0.751, 0.247)
Ni (0.249, 0.751, 0.753)
Ni (0.372, 0.122, 0.372)
Ni (0.372, 0.122, 0.628)
Ni (0.373, 0.122, 0.123)
Ni (0.373, 0.122, 0.877)
Ni (0.500, 0.500, 0.000)
Ni (0.500, 0.500, 0.500)
Ni (0.627, 0.878, 0.123)
Ni (0.627, 0.878, 0.877)
Ni (0.628, 0.878, 0.372)
Ni (0.628, 0.878, 0.628)
Ni (0.751, 0.249, 0.247)
Ni (0.751, 0.249, 0.753)
Ni (0.878, 0.627, 0.123)
Ni (0.878, 0.627, 0.877)
Ni (0.878, 0.628, 0.372)
Ni (0.878, 0.628, 0.628)
Ru (0.251, 0.749, 0.500)
Ru (0.500, 0.500, 0.249)
Ru (0.500, 0.500, 0.751)
Ru (0.749, 0.251, 0.500)


# 15
ErAl20Cr2: relaxed, GGA-PBEsol.

Lattice parameters (Å, degrees): 10.112 10.112 10.112 60.00 60.00 60.00
Fractional coordinates of all 46 atoms:
Er (0.125, 0.125, 0.125)
Er (0.875, 0.875, 0.875)
Al (0.000, 0.000, 0.000)
Al (0.000, 0.000, 0.500)
Al (0.000, 0.500, 0.000)
Al (0.057, 0.326, 0.326)
Al (0.057, 0.326, 0.791)
Al (0.057, 0.791, 0.326)
Al (0.209, 0.674, 0.674)
Al (0.209, 0.674, 0.943)
Al (0.209, 0.943, 0.674)
Al (0.238, 0.238, 0.512)
Al (0.238, 0.512, 0.238)
Al (0.238, 0.512, 0.512)
Al (0.326, 0.057, 0.326)
Al (0.326, 0.057, 0.791)
Al (0.326, 0.326, 0.057)
Al (0.326, 0.326, 0.791)
Al (0.326, 0.791, 0.057)
Al (0.326, 0.791, 0.326)
Al (0.488, 0.488, 0.762)
Al (0.488, 0.762, 0.488)
Al (0.488, 0.762, 0.762)
Al (0.500, 0.000, 0.000)
Al (0.512, 0.238, 0.238)
Al (0.512, 0.238, 0.512)
Al (0.512, 0.512, 0.238)
Al (0.674, 0.209, 0.674)
Al (0.674, 0.209, 0.943)
Al (0.674, 0.674, 0.209)
Al (0.674, 0.674, 0.943)
Al (0.674, 0.943, 0.209)
Al (0.674, 0.943, 0.674)
Al (0.762, 0.488, 0.488)
Al (0.762, 0.488, 0.762)
Al (0.762, 0.762, 0.488)
Al (0.791, 0.057, 0.326)
Al (0.791, 0.326, 0.057)
Al (0.791, 0.326, 0.326)
Al (0.943, 0.209, 0.674)
Al (0.943, 0.674, 0.209)
Al (0.943, 0.674, 0.674)
Cr (0.000, 0.500, 0.500)
Cr (0.500, 0.000, 0.500)
Cr (0.500, 0.500, 0.000)
Cr (0.500, 0.500, 0.500)


# 16
Sc2CuTc: relaxed, GGA-PBEsol.

Lattice parameters (Å, degrees): 4.514 4.514 4.514 60.00 60.00 60.00
Fractional coordinates of all 4 atoms:
Sc (0.250, 0.250, 0.250)
Sc (0.750, 0.750, 0.750)
Cu (0.000, 0.000, 0.000)
Tc (0.500, 0.500, 0.500)


# 17
CdRh2Pb: relaxed, GGA-PBEsol.

Lattice parameters (Å, degrees): 4.405 4.405 3.457 90.00 90.00 90.00
Fractional coordinates of all 4 atoms:
Cd (0.000, 0.000, 0.000)
Rh (0.000, 0.500, 0.500)
Rh (0.500, 0.000, 0.500)
Pb (0.500, 0.500, 0.000)


# 18
AlCCl3: relaxed, GGA-PBEsol.

formation energy (no corrections): 0.603 eV/atom

Lattice parameters (Å, degrees): 4.637 4.637 4.637 90.00 90.00 90.00
Fractional coordinates of all 5 atoms:
Al (0.000, 0.000, 0.000)
C (0.500, 0.500, 0.500)
Cl (0.000, 0.000, 0.500)
Cl (0.000, 0.500, 0.000)
Cl (0.500, 0.000, 0.000)


# 19
Co6SiTc: relaxed, GGA-PBEsol.

formation energy (no corrections): -0.178 eV/atom

Lattice parameters (Å, degrees): 6.014 6.014 9.825 90.00 90.00 109.60
Fractional coordinates of all 32 atoms:
Co (0.000, 0.000, 0.000)
Co (0.000, 0.000, 0.500)
Co (0.124, 0.373, 0.374)
Co (0.124, 0.373, 0.626)
Co (0.125, 0.374, 0.124)
Co (0.125, 0.374, 0.876)
Co (0.250, 0.750, 0.249)
Co (0.250, 0.750, 0.751)
Co (0.373, 0.124, 0.374)
Co (0.373, 0.124, 0.626)
Co (0.374, 0.125, 0.124)
Co (0.374, 0.125, 0.876)
Co (0.500, 0.500, 0.000)
Co (0.500, 0.500, 0.500)
Co (0.626, 0.875, 0.124)
Co (0.626, 0.875, 0.876)
Co (0.627, 0.876, 0.374)
Co (0.627, 0.876, 0.626)
Co (0.750, 0.250, 0.249)
Co (0.750, 0.250, 0.751)
Co (0.875, 0.626, 0.124)
Co (0.875, 0.626, 0.876)
Co (0.876, 0.627, 0.374)
Co (0.876, 0.627, 0.626)
Si (0.000, 0.000, 0.246)
Si (0.000, 0.000, 0.754)
Si (0.255, 0.745, 0.000)
Si (0.745, 0.255, 0.000)
Tc (0.255, 0.745, 0.500)
Tc (0.500, 0.500, 0.245)
Tc (0.500, 0.500, 0.755)
Tc (0.745, 0.255, 0.500)


# 20
TlSbH3: relaxed, GGA-PBEsol.

Lattice parameters (Å, degrees): 4.066 4.066 4.066 90.00 90.00 90.00
Fractional coordinates of all 5 atoms:
Tl (0.000, 0.000, 0.000)
Sb (0.500, 0.500, 0.500)
H (0.000, 0.000, 0.500)
H (0.000, 0.500, 0.000)
H (0.500, 0.000, 0.000)


# 21
TaCrPt2: relaxed, GGA-PBEsol.

distance to the lowest polymorph of the same formula: 365 meV/atom

Lattice parameters (Å, degrees): 9.063 9.063 9.063 17.51 17.51 17.51
Fractional coordinates of all 4 atoms:
Ta (0.000, 0.000, 0.000)
Cr (0.500, 0.500, 0.500)
Pt (0.245, 0.245, 0.245)
Pt (0.755, 0.755, 0.755)


Across the entries above, final energy takes the values -3.299; -4.262; -5.141; -4.242; -4.131; -6.416; -8.013; -5.151; -5.324; -1.024; -2.968; -5.303; -2.849; -6.959; -4.799; -7.423; -5.416; -3.349; -8.108; -2.581; -9.304 eV/atom, respectively.
Across the entries above, calculated density takes the values 2.80; 6.56; 5.83; 7.26; 4.07; 10.51; 4.69; 8.28; 4.57; 1.68; 9.88; 7.74; 7.73; 9.66; 3.68; 6.42; 13.00; 2.42; 9.52; 8.13; 17.60 g/cm3, respectively.